[1]
VASP calculation (PBE-GGA) on crystalline HoPuInOs at its relaxed geometry.

Results
ΔE_f, eV per atom: -0.0483
M_tot, μB/atom: 1.23

Geometry as extended XYZ:
```
4
Lattice="-3.027 3.092 -2.568 -2.963 -1.825 -3.634 -4.980 -0.213 0.684" Properties=species:S:1:pos:R:3 pbc="T T T"
Ho 0.000 0.000 0.000
In -8.227 0.791 -4.138
Pu -5.485 0.527 -2.759
Os -2.742 0.264 -1.379
```

---

[2]
VASP calculation (PBE-GGA) on crystalline SiPbBrN2 at its relaxed geometry.

Results
M_tot, μB/atom: 0.00
Formation energy (no corrections), eV per atom: 0.80

Geometry as extended XYZ:
```
5
Lattice="3.845 0.000 0.000 0.000 6.001 0.000 0.000 0.000 3.845" Properties=species:S:1:pos:R:3 pbc="T T T"
N 1.923 0.000 0.000
N 0.000 0.000 1.923
Si 0.000 0.000 0.000
Br 1.923 3.000 1.923
Pb 0.000 3.000 0.000
```

---

[3]
VASP calculation (PBE-GGA) on crystalline PaGeS4 at its relaxed geometry.

Results
M_tot, μB/atom: 0.00
Formation energy (no corrections), eV per atom: -0.94

Geometry as extended XYZ:
```
12
Lattice="6.483 0.037 0.000 -0.903 6.075 0.000 -2.790 -3.056 6.520" Properties=species:S:1:pos:R:3 pbc="T T T"
S 3.136 4.546 0.460
S 5.686 1.584 0.460
S 2.919 1.386 2.860
S -0.346 -1.490 6.060
S -2.895 1.471 6.060
S 3.370 -1.652 3.659
S -0.129 1.670 3.659
S -0.580 4.707 2.860
Ge -2.072 3.028 4.390
Ge 4.862 0.028 2.130
Pa 1.621 0.009 5.013
Pa 1.169 3.047 1.507
```